First-principles (PBE-GGA) data for an optimized crystal structure of Pm8Nd3Ho4, as listed in the Alexandria database.

Computed properties:
Total DFT energy (no corrections) = -4.37 eV per atom

a b c (Å): 14.013 12.226 6.906
angles (deg): 90.00 119.30 90.00
Space group C2/m (No. 12)
Inequivalent atoms, fractional coordinates:
1 Pm 0.000 0.205 0.000 x4
2 Pm 0.000 0.253 0.500 x4
3 Pm 0.205 0.000 0.198 x4
4 Pm 0.247 0.500 0.259 x4
5 Nd 0.000 0.000 0.500 x2
6 Nd 0.250 0.250 0.000 x4
7 Ho 0.000 0.500 0.000 x2
8 Ho 0.000 0.500 0.500 x2
9 Ho 0.250 0.250 0.500 x4